The following is a GGA+U calculation of VBPbO2 after structural relaxation, from Alexandria via LeMat-Bulk.

a b c (Å): 3.7963 4.3867 3.7963
angles (deg): 90.00 90.00 90.00
Closest atoms and distances in Å follow each position.
Atoms (fractional coordinates):
O 0.0000 0.0000 0.5000  2 B 1.90
O 0.5000 0.0000 0.0000  2 B 1.90
Pb 0.5000 0.5000 0.5000  4 V 2.68, 8 O 2.90
B 0.0000 0.0000 0.0000  4 O 1.90
V 0.0000 0.5000 0.0000  2 B 2.19

Summary:
- E (Ha/atom) = -0.1780
- density (g cm⁻³) = 7.90